No. 1
A relaxed structure of Ga3CuCl12, computed with PBE.

```
Ga3CuCl12
1.0
5.626 3.248 10.837
-5.626 3.248 10.837
0.000 -6.497 10.837
Ga Cu Cl
6 2 24
Cartesian
-1.628 -3.663 10.837 Ga
-3.268 -0.007 16.256 Ga
-2.358 3.241 10.837 Ga
1.640 -2.827 16.256 Ga
3.986 0.421 10.837 Ga
1.628 2.834 16.256 Ga
0.000 0.000 1.948 Cu
0.000 0.000 18.204 Cu
-2.149 0.632 5.803 Cl
-1.398 -4.832 12.927 Cl
-3.435 -2.153 16.128 Cl
0.527 -2.177 5.803 Cl
-3.686 -2.347 20.221 Cl
-2.191 1.095 10.709 Cl
0.147 -2.445 10.709 Cl
-3.486 3.626 12.927 Cl
-1.940 0.901 14.802 Cl
0.190 -2.131 14.802 Cl
-2.141 0.378 18.345 Cl
1.622 1.546 5.803 Cl
-0.527 -2.177 22.059 Cl
0.743 -2.043 18.345 Cl
2.044 1.350 10.709 Cl
-1.622 1.546 22.059 Cl
1.751 1.230 14.802 Cl
-0.147 4.051 16.128 Cl
3.582 -1.898 16.128 Cl
1.398 1.665 18.345 Cl
-0.190 4.366 20.221 Cl
3.876 -2.019 20.221 Cl
4.883 1.206 12.927 Cl
2.149 0.632 22.059 Cl
```

Values from the calculation:
magnetic moment: 2.34 μB per formula unit
DFT total energy: -3.04 eV per atom
DOS(E_F): 36.9 states/eV per cell
formation energy without anion corrections: -19.10 kcal/mol of atoms

***

No. 2
A relaxed structure of GaCu3Cl, computed with PBE.

```
GaCu3Cl
1.0
4.637 0.000 0.000
0.000 4.637 0.000
0.000 0.000 4.637
Ga Cu Cl
1 3 1
Cartesian
0.000 0.000 0.000 Ga
0.000 0.000 2.318 Cu
0.000 2.318 0.000 Cu
2.318 0.000 0.000 Cu
2.318 2.318 2.318 Cl
```

Values from the calculation:
magnetic moment: 0.00 μB per formula unit
E above lowest polymorph: 0.000 eV per atom
DFT total energy: -2.81 eV per atom
DOS(E_F): 6.0 states/eV per cell
formation energy without anion corrections: 14.30 kcal/mol of atoms

***

No. 3
A relaxed structure of GaCu2Cl, computed with PBE.

```
GaCu2Cl
1.0
-3.099 3.099 3.947
3.099 -3.099 3.947
3.099 3.099 -3.947
Ga Cu Cl
2 4 2
Cartesian
0.000 0.000 0.000 Ga
0.000 3.099 1.974 Ga
1.549 1.574 -0.987 Cu
4.624 1.549 0.987 Cu
1.549 1.525 2.960 Cu
-1.525 1.549 4.934 Cu
3.099 0.000 1.974 Cl
0.000 0.000 3.947 Cl
```

Values from the calculation:
magnetic moment: 0.00 μB per formula unit
E above lowest polymorph: 0.000 eV per atom
DFT total energy: -3.18 eV per atom
DOS(E_F): 0.0 states/eV per cell
formation energy without anion corrections: 1.99 kcal/mol of atoms

***

No. 4
A relaxed structure of InGa2CuCl8, computed with PBE.

```
InGa2CuCl8
1.0
6.453 0.000 0.000
-3.227 5.589 0.000
0.000 0.000 9.105
In Ga Cu Cl
1 2 1 8
Cartesian
0.000 0.000 0.000 In
0.000 3.726 6.759 Ga
3.227 1.863 2.346 Ga
0.000 0.000 4.553 Cu
-0.912 1.815 6.096 Cl
-1.199 5.471 6.096 Cl
1.116 1.697 3.009 Cl
0.000 3.726 8.964 Cl
3.227 1.863 0.141 Cl
2.111 3.892 6.096 Cl
4.426 0.118 3.009 Cl
4.138 3.774 3.009 Cl
```

Values from the calculation:
magnetic moment: 0.12 μB per formula unit
DFT total energy: -3.25 eV per atom
formation energy without anion corrections: -21.85 kcal/mol of atoms

***

No. 5
A relaxed structure of KGa2CuCl8, computed with PBE.

```
KGa2CuCl8
1.0
6.463 0.000 0.000
-3.232 5.597 0.000
0.000 0.000 9.134
K Ga Cu Cl
1 2 1 8
Cartesian
0.000 0.000 0.000 K
0.000 3.731 6.766 Ga
3.232 1.866 2.368 Ga
0.000 0.000 4.567 Cu
-0.909 1.816 6.112 Cl
-1.204 5.476 6.112 Cl
1.119 1.695 3.022 Cl
0.000 3.731 8.972 Cl
3.232 1.866 0.162 Cl
2.113 3.902 6.112 Cl
4.436 0.121 3.022 Cl
4.140 3.781 3.022 Cl
```

Values from the calculation:
magnetic moment: 0.12 μB per formula unit
DFT total energy: -3.32 eV per atom
formation energy without anion corrections: -26.54 kcal/mol of atoms

***

No. 6
A relaxed structure of Mg2GaCuCl, computed with PBE.

```
Mg2GaCuCl
1.0
5.211 0.000 0.000
0.000 5.211 0.000
0.000 0.000 4.492
Mg Ga Cu Cl
2 1 1 1
Cartesian
0.000 2.606 0.000 Mg
2.606 0.000 0.000 Mg
0.000 0.000 0.000 Ga
0.000 0.000 2.246 Cu
2.606 2.606 2.246 Cl
```

Values from the calculation:
magnetic moment: 0.00 μB per formula unit
DFT total energy: -2.49 eV per atom
DOS(E_F): 2.3 states/eV per cell
formation energy without anion corrections: -1.25 kcal/mol of atoms

***

No. 7
A relaxed structure of Mn2GaCuCl, computed with PBE.

```
Mn2GaCuCl
1.0
4.867 0.000 0.000
0.000 4.867 0.000
0.000 0.000 5.035
Mn Ga Cu Cl
2 1 1 1
Cartesian
0.000 2.433 0.000 Mn
2.433 0.000 0.000 Mn
0.000 0.000 0.000 Ga
2.433 2.433 2.518 Cu
0.000 0.000 2.518 Cl
```

Values from the calculation:
magnetic moment: 8.51 μB per formula unit
DFT total energy: -4.57 eV per atom
DOS(E_F): 3.2 states/eV per cell
formation energy without anion corrections: 20.67 kcal/mol of atoms

***

No. 8
A relaxed structure of GaCuMo2Cl, computed with PBE.

```
GaCuMo2Cl
1.0
4.797 0.000 0.000
0.000 4.797 0.000
0.000 0.000 4.189
Ga Cu Mo Cl
1 1 2 1
Cartesian
0.000 0.000 0.000 Ga
2.399 2.399 2.095 Cu
0.000 2.399 2.095 Mo
2.399 0.000 2.095 Mo
2.399 2.399 0.000 Cl
```

Values from the calculation:
magnetic moment: 1.77 μB per formula unit
DFT total energy: -4.55 eV per atom
DOS(E_F): 7.4 states/eV per cell
formation energy without anion corrections: 36.42 kcal/mol of atoms

***

No. 9
A relaxed structure of GaCuClO2, computed with PBE.

```
GaCuClO2
1.0
6.725 0.000 0.000
0.000 3.932 0.000
-2.922 0.000 6.508
Ga Cu Cl O
2 2 2 4
Cartesian
0.485 0.983 1.077 Ga
3.318 2.949 5.430 Ga
-1.677 0.983 4.178 Cu
5.480 2.949 2.330 Cu
2.570 0.983 1.620 Cl
1.233 2.949 4.888 Cl
-0.983 0.983 2.361 O
-0.056 2.949 0.839 O
3.859 0.983 5.669 O
4.786 2.949 4.147 O
```

Values from the calculation:
magnetic moment: 0.00 μB per formula unit
DFT total energy: -4.87 eV per atom
DOS(E_F): 1.2 states/eV per cell
formation energy without anion corrections: -25.21 kcal/mol of atoms

***

No. 10
A relaxed structure of GaCuPbCl2, computed with PBE.

```
GaCuPbCl2
1.0
4.794 0.000 0.000
0.000 4.794 0.000
0.000 0.000 5.919
Ga Cu Pb Cl
1 1 1 2
Cartesian
0.000 0.000 0.000 Ga
2.397 2.397 2.960 Cu
0.000 0.000 2.960 Pb
0.000 2.397 0.000 Cl
2.397 0.000 0.000 Cl
```

Values from the calculation:
magnetic moment: 0.00 μB per formula unit
DFT total energy: -2.83 eV per atom
DOS(E_F): 0.9 states/eV per cell
formation energy without anion corrections: 1.73 kcal/mol of atoms

***

No. 11
A relaxed structure of GaCu2RhCl, computed with PBE.

```
GaCu2RhCl
1.0
4.485 0.000 0.000
0.000 4.485 0.000
0.000 0.000 5.054
Ga Cu Rh Cl
1 2 1 1
Cartesian
0.000 0.000 0.000 Ga
0.000 2.242 0.000 Cu
2.242 0.000 0.000 Cu
2.242 2.242 2.527 Rh
0.000 0.000 2.527 Cl
```

Values from the calculation:
magnetic moment: 1.21 μB per formula unit
DFT total energy: -3.18 eV per atom
DOS(E_F): 4.3 states/eV per cell
formation energy without anion corrections: 20.82 kcal/mol of atoms

***

No. 12
A relaxed structure of Tl2GaCuCl6, computed with PBE.

```
Tl2GaCuCl6
1.0
7.087 0.000 0.000
-3.543 6.137 0.000
0.000 0.000 6.221
Tl Ga Cu Cl
2 1 1 6
Cartesian
0.000 4.092 1.071 Tl
3.543 2.046 5.150 Tl
0.000 0.000 0.000 Ga
0.000 0.000 3.110 Cu
0.000 1.925 4.790 Cl
-1.876 5.175 4.790 Cl
1.667 0.963 1.431 Cl
1.876 5.175 4.790 Cl
5.420 0.963 1.431 Cl
3.543 4.212 1.431 Cl
```

Values from the calculation:
magnetic moment: 0.12 μB per formula unit
DFT total energy: -3.19 eV per atom
formation energy without anion corrections: -20.57 kcal/mol of atoms

***

No. 13
A relaxed structure of TlGa2CuCl8, computed with PBE.

```
TlGa2CuCl8
1.0
6.454 0.000 0.000
-3.227 5.589 0.000
0.000 0.000 9.159
Tl Ga Cu Cl
1 2 1 8
Cartesian
0.000 0.000 0.000 Tl
0.000 3.726 6.782 Ga
3.227 1.863 2.377 Ga
0.000 0.000 4.580 Cu
-0.914 1.815 6.123 Cl
-1.198 5.473 6.123 Cl
1.115 1.699 3.036 Cl
0.000 3.726 8.988 Cl
3.227 1.863 0.171 Cl
2.112 3.890 6.123 Cl
4.425 0.116 3.036 Cl
4.141 3.774 3.036 Cl
```

Values from the calculation:
magnetic moment: 0.12 μB per formula unit
DFT total energy: -3.26 eV per atom
formation energy without anion corrections: -22.83 kcal/mol of atoms

***

No. 14
A relaxed structure of YGaCu2Cl, computed with PBE.

```
YGaCu2Cl
1.0
4.514 0.000 0.000
0.000 4.514 0.000
0.000 0.000 5.222
Y Ga Cu Cl
1 1 2 1
Cartesian
0.000 0.000 0.000 Y
2.257 2.257 2.611 Ga
0.000 2.257 2.611 Cu
2.257 0.000 2.611 Cu
2.257 2.257 0.000 Cl
```

Values from the calculation:
magnetic moment: 0.00 μB per formula unit
DFT total energy: -3.92 eV per atom
DOS(E_F): 3.2 states/eV per cell
formation energy without anion corrections: -0.27 kcal/mol of atoms

***

No. 15
A relaxed structure of Gd3Cu5Cl12, computed with PBE.

```
Gd3Cu5Cl12
1.0
-7.638 7.638 7.638
7.638 -7.638 7.638
7.638 7.638 -7.638
Gd Cu Cl
12 20 48
Cartesian
3.819 1.910 0.000 Gd
7.638 3.819 -1.910 Gd
1.910 0.000 3.819 Gd
9.548 0.000 3.819 Gd
0.000 3.819 1.910 Gd
3.819 -1.910 7.638 Gd
3.819 9.548 0.000 Gd
7.638 3.819 5.729 Gd
-1.910 7.638 3.819 Gd
5.729 7.638 3.819 Gd
0.000 3.819 9.548 Gd
3.819 5.729 7.638 Gd
0.000 0.000 0.000 Cu
3.819 3.819 -3.819 Cu
3.819 -3.819 3.819 Cu
7.638 0.000 0.000 Cu
11.457 1.910 0.000 Cu
7.638 -3.819 5.729 Cu
5.729 7.638 -3.819 Cu
5.729 0.000 3.819 Cu
3.819 5.729 0.000 Cu
7.638 3.819 1.910 Cu
-3.819 3.819 3.819 Cu
0.000 7.638 0.000 Cu
0.000 0.000 7.638 Cu
3.819 3.819 3.819 Cu
0.000 3.819 5.729 Cu
3.819 1.910 7.638 Cu
1.910 7.638 3.819 Cu
1.910 0.000 11.457 Cu
0.000 11.457 1.910 Cu
-3.819 5.729 7.638 Cu
2.320 -0.432 0.943 Cl
9.137 4.762 -4.251 Cl
7.206 -0.943 2.320 Cl
9.958 0.432 0.943 Cl
9.137 -2.876 4.251 Cl
11.889 -1.499 2.876 Cl
0.943 2.320 -0.432 Cl
10.514 3.387 -1.499 Cl
4.762 4.251 -1.499 Cl
6.695 2.320 0.432 Cl
-0.432 0.943 2.320 Cl
4.251 -1.499 4.762 Cl
7.206 6.695 -2.320 Cl
4.251 1.499 2.876 Cl
4.762 -4.251 9.137 Cl
6.695 -2.320 7.206 Cl
2.876 4.251 1.499 Cl
8.581 5.318 0.432 Cl
2.320 7.206 -0.943 Cl
4.251 9.137 -2.876 Cl
7.206 0.943 5.318 Cl
9.137 2.876 3.387 Cl
1.499 2.876 4.251 Cl
2.320 0.432 6.695 Cl
5.318 7.206 0.943 Cl
6.139 4.762 3.387 Cl
-1.499 4.762 4.251 Cl
0.432 6.695 2.320 Cl
3.387 -1.499 10.514 Cl
5.318 0.432 8.581 Cl
-0.943 2.320 7.206 Cl
4.762 3.387 6.139 Cl
0.943 9.958 0.432 Cl
2.876 11.889 -1.499 Cl
3.387 6.139 4.762 Cl
0.432 0.943 9.958 Cl
3.387 9.137 2.876 Cl
8.070 6.695 5.318 Cl
0.943 5.318 7.206 Cl
2.876 3.387 9.137 Cl
-2.876 4.251 9.137 Cl
6.695 5.318 8.070 Cl
-4.251 9.137 4.762 Cl
-1.499 10.514 3.387 Cl
-2.320 7.206 6.695 Cl
0.432 8.581 5.318 Cl
-1.499 2.876 11.889 Cl
5.318 8.070 6.695 Cl
```

Values from the calculation:
magnetic moment: 20.85 μB per formula unit
DFT total energy: -5.44 eV per atom
DOS(E_F): 72.8 states/eV per cell
formation energy without anion corrections: -27.47 kcal/mol of atoms

***

No. 16
A relaxed structure of GdCuCl2, computed with PBE.

```
GdCuCl2
1.0
1.877 1.084 8.045
-1.877 1.084 8.045
0.000 -2.167 8.045
Gd Cu Cl
1 1 2
Cartesian
0.000 0.000 0.000 Gd
0.000 0.000 12.067 Cu
0.000 0.000 2.680 Cl
0.000 0.000 21.454 Cl
```

Values from the calculation:
magnetic moment: 7.07 μB per formula unit
DFT total energy: -6.18 eV per atom
DOS(E_F): 3.5 states/eV per cell
formation energy without anion corrections: -16.32 kcal/mol of atoms

***

No. 17
A relaxed structure of K2GdCuCl6, computed with PBE.

```
K2GdCuCl6
1.0
0.000 5.193 5.193
5.193 0.000 5.193
5.193 5.193 0.000
K Gd Cu Cl
2 1 1 6
Cartesian
2.596 2.596 2.596 K
7.789 7.789 7.789 K
0.000 0.000 0.000 Gd
5.193 5.193 5.193 Cu
5.193 5.193 2.661 Cl
5.193 2.661 5.193 Cl
7.724 5.193 5.193 Cl
2.661 5.193 5.193 Cl
5.193 7.724 5.193 Cl
5.193 5.193 7.724 Cl
```

Values from the calculation:
magnetic moment: 6.90 μB per formula unit
DFT total energy: -4.89 eV per atom
formation energy without anion corrections: -40.12 kcal/mol of atoms

***

No. 18
A relaxed structure of CuGeCl3, computed with PBE.

```
CuGeCl3
1.0
7.078 -1.944 0.000
7.078 1.944 0.000
-4.430 0.000 10.241
Cu Ge Cl
2 2 6
Cartesian
-0.331 0.000 1.334 Cu
10.056 0.000 8.908 Cu
1.840 0.000 6.755 Ge
7.885 0.000 3.486 Ge
-0.170 0.000 5.268 Cl
1.875 0.000 2.067 Cl
5.644 0.000 1.343 Cl
4.081 0.000 8.898 Cl
7.851 0.000 8.174 Cl
9.896 0.000 4.973 Cl
```

Values from the calculation:
magnetic moment: 0.00 μB per formula unit
E above lowest polymorph: 0.035 eV per atom
DFT total energy: -3.45 eV per atom
formation energy without anion corrections: -13.71 kcal/mol of atoms

***

No. 19
A relaxed structure of Cu2GeCl, computed with PBE.

```
Cu2GeCl
1.0
-3.015 3.015 4.353
3.015 -3.015 4.353
3.015 3.015 -4.353
Cu Ge Cl
4 2 2
Cartesian
4.523 1.496 -1.088 Cu
1.496 1.508 1.088 Cu
-1.508 1.520 3.265 Cu
1.520 1.508 5.441 Cu
0.000 0.000 0.000 Ge
0.000 3.015 2.176 Ge
3.015 0.000 2.176 Cl
0.000 0.000 4.353 Cl
```

Values from the calculation:
magnetic moment: 0.00 μB per formula unit
E above lowest polymorph: 0.000 eV per atom
DFT total energy: -3.57 eV per atom
DOS(E_F): 1.5 states/eV per cell
formation energy without anion corrections: 2.17 kcal/mol of atoms

***

No. 20
A relaxed structure of Cu2GeCl4, computed with PBE.

```
Cu2GeCl4
1.0
-2.737 2.737 5.858
2.737 -2.737 5.858
2.737 2.737 -5.858
Cu Ge Cl
2 1 4
Cartesian
2.737 0.000 2.929 Cu
0.000 2.737 2.929 Cu
0.000 0.000 0.000 Ge
1.312 -1.312 4.232 Cl
1.424 1.424 1.626 Cl
-1.312 1.312 4.232 Cl
1.312 1.312 7.483 Cl
```

Values from the calculation:
magnetic moment: 0.00 μB per formula unit
DFT total energy: -3.40 eV per atom
DOS(E_F): 0.0 states/eV per cell
formation energy without anion corrections: -11.85 kcal/mol of atoms